(1)
Here is crystalline RbNiCl2 at its relaxed geometry from Alexandria via LeMat-Bulk. Energies are from GGA-PBE.

Cell lengths 3.8850, 3.8850, 25.6881 Å; angles 90.00, 90.00, 120.00 degrees
Space group R-3m (No. 166, hexagonal axes)
Symmetry-distinct sites (fractional):
Rb: 0.0000 0.0000 0.0000
Ni: 0.0000 0.0000 0.5000
Cl: 0.0000 0.0000 0.1194

ΔE_f (raw): -0.54 eV per atom


(2)
Here is crystalline Rb3Ni5Cl12 at its relaxed geometry from Alexandria via LeMat-Bulk. Energies are from GGA-PBE.

Cell lengths 15.9037, 15.9037, 15.9037 Å; angles 90.00, 90.00, 90.00 degrees
Space group Ia-3d (No. 230)
Symmetry-distinct sites (fractional):
Rb: 0.0000 0.2500 0.1250
Ni: 0.0000 0.0000 0.0000
Ni: 0.0000 0.2500 0.3750
Cl: 0.0406 0.0451 0.6432

ΔE_f (raw): -0.88 eV per atom


(3)
Here is crystalline RbNiCl4 at its relaxed geometry from Alexandria via LeMat-Bulk. Energies are from GGA-PBE.

Cell lengths 8.7068, 9.9456, 11.4492 Å; angles 90.00, 126.50, 90.00 degrees
Space group P2_1/c (No. 14)
Symmetry-distinct sites (fractional):
Rb: 0.1753 0.1678 0.2709
Ni: 0.2984 0.6773 0.1959
Cl: 0.0887 0.6605 0.6159
Cl: 0.2148 0.5184 0.2763
Cl: 0.3062 0.6159 0.0179
Cl: 0.4177 0.2481 0.1327

ΔE_f (raw): -0.96 eV per atom


Copy entry 3 word for word.
Here is crystalline RbNiCl4 at its relaxed geometry from Alexandria via LeMat-Bulk. Energies are from GGA-PBE.

Cell lengths 8.7068, 9.9456, 11.4492 Å; angles 90.00, 126.50, 90.00 degrees
Space group P2_1/c (No. 14)
Symmetry-distinct sites (fractional):
Rb: 0.1753 0.1678 0.2709
Ni: 0.2984 0.6773 0.1959
Cl: 0.0887 0.6605 0.6159
Cl: 0.2148 0.5184 0.2763
Cl: 0.3062 0.6159 0.0179
Cl: 0.4177 0.2481 0.1327

ΔE_f (raw): -0.96 eV per atom


Repeat the second record exactly.
Here is crystalline Rb3Ni5Cl12 at its relaxed geometry from Alexandria via LeMat-Bulk. Energies are from GGA-PBE.

Cell lengths 15.9037, 15.9037, 15.9037 Å; angles 90.00, 90.00, 90.00 degrees
Space group Ia-3d (No. 230)
Symmetry-distinct sites (fractional):
Rb: 0.0000 0.2500 0.1250
Ni: 0.0000 0.0000 0.0000
Ni: 0.0000 0.2500 0.3750
Cl: 0.0406 0.0451 0.6432

ΔE_f (raw): -0.88 eV per atom


- What is the formula in the second record?
  Rb3Ni5Cl12


- Which formula does entry 3 have?
  RbNiCl4